NaTlWF6 after structural relaxation, computed with PBE with a Hubbard U.

Unit cell a=5.917 b=5.917 c=11.606 alpha=90.00 beta=90.00 gamma=120.00
Last column: magnetic moment on the atom in μB.
Positions (direct):
1 Na 0.333 0.667 0.250  0.00
2 Na 0.667 0.333 0.750  0.00
3 Tl 0.000 0.000 0.000  0.00
4 Tl 0.000 0.000 0.500  0.00
5 W 0.667 0.333 0.250  1.93
6 W 0.333 0.667 0.750  1.93
7 F 0.650 0.606 0.151  0.02
8 F 0.956 0.350 0.151  0.02
9 F 0.350 0.956 0.651  0.02
10 F 0.044 0.650 0.849  0.02
11 F 0.394 0.350 0.349  0.02
12 F 0.956 0.606 0.349  0.02
13 F 0.606 0.956 0.849  0.02
14 F 0.650 0.044 0.349  0.02
15 F 0.044 0.394 0.651  0.02
16 F 0.394 0.044 0.151  0.02
17 F 0.606 0.650 0.651  0.02
18 F 0.350 0.394 0.849  0.02

Computed properties:
Raw total energy: -5.0547 eV/atom
Fermi-level density of states: 0.00 states/eV per atom
Space-group type: No. 163